a.
# Si5C3 PBE-GGA optimized geometry
data_Si5C3
_chemical_formula_sum 'Si10 C6'
_symmetry_space_group_name_H-M 'C m m m'
_symmetry_Int_Tables_number 65
_symmetry_space_group_name_Hall '-C 2 2'
_cell_length_a 6.0232
_cell_length_b 11.0085
_cell_length_c 2.8361
_cell_angle_alpha 90.00
_cell_angle_beta 90.00
_cell_angle_gamma 90.00
loop_
_atom_site_label
_atom_site_type_symbol
_atom_site_fract_x
_atom_site_fract_y
_atom_site_fract_z
Si1 Si 0.0000 0.0000 0.0000
Si2 Si 0.1979 0.5000 0.5000
Si3 Si 0.2500 0.2500 0.0000
C1 C 0.0000 0.2482 0.5000
C2 C 0.0000 0.5000 0.0000
# N(E_F)   5.32 states/eV per cell
# Theoretical density   3.1 g/cm³
# Spin magnetization   0.000 μB per cell

b.
# Si5C3 PBE-GGA optimized geometry
data_Si5C3
_chemical_formula_sum 'Si5 C3'
_symmetry_space_group_name_H-M 'P 4/m m m'
_symmetry_Int_Tables_number 123
_symmetry_space_group_name_Hall '-P 4 2'
_cell_length_a 2.7919
_cell_length_b 2.7919
_cell_length_c 11.6349
_cell_angle_alpha 90.00
_cell_angle_beta 90.00
_cell_angle_gamma 90.00
loop_
_atom_site_label
_atom_site_type_symbol
_atom_site_fract_x
_atom_site_fract_y
_atom_site_fract_z
Si1 Si 0.0000 0.0000 0.0000
Si2 Si 0.0000 0.0000 0.2051
Si3 Si 0.5000 0.5000 0.4044
C1 C 0.0000 0.0000 0.5000
C2 C 0.5000 0.5000 0.2436
# N(E_F)   3.11 states/eV per cell
# Theoretical density   3.2 g/cm³
# Spin magnetization   0.000 μB per cell

c.
# Si5C3 PBE-GGA optimized geometry
data_Si5C3
_chemical_formula_sum 'Si15 C9'
_symmetry_space_group_name_H-M 'R 3'
_symmetry_Int_Tables_number 146
_symmetry_space_group_name_Hall 'R 3'
_cell_length_a 8.5506
_cell_length_b 8.5506
_cell_length_c 8.2868
_cell_angle_alpha 90.00
_cell_angle_beta 90.00
_cell_angle_gamma 120.00
loop_
_atom_site_label
_atom_site_type_symbol
_atom_site_fract_x
_atom_site_fract_y
_atom_site_fract_z
Si1 Si 0.0000 0.0000 0.0000
Si2 Si 0.0000 0.0000 0.3305
Si3 Si 0.1070 0.6958 0.8667
C1 C 0.1193 0.6722 0.6544
# Theoretical density   1.7 g/cm³
# Spin magnetization   0.000 μB per cell

Which structure is the least stable? The one labeled a.

a.
# Si5C4 PBE-GGA optimized geometry
data_Si5C4
_chemical_formula_sum 'Si10 C8'
_symmetry_space_group_name_H-M 'I 4/m m m'
_symmetry_Int_Tables_number 139
_symmetry_space_group_name_Hall '-I 4 2'
_cell_length_a 6.2171
_cell_length_b 6.2171
_cell_length_c 5.9211
_cell_angle_alpha 90.00
_cell_angle_beta 90.00
_cell_angle_gamma 90.00
loop_
_atom_site_label
_atom_site_type_symbol
_atom_site_fract_x
_atom_site_fract_y
_atom_site_fract_z
Si1 Si 0.0000 0.0000 0.0000
Si2 Si 0.2003 0.2003 0.5000
C1 C 0.0000 0.3862 0.0000
# N(E_F)   0.94 states/eV per cell
# Theoretical density   2.7 g/cm³
# Spin magnetization   0.000 μB per cell

b.
# Si5C4 PBE-GGA optimized geometry
data_Si5C4
_chemical_formula_sum 'Si10 C8'
_symmetry_space_group_name_H-M 'P 63/m c m'
_symmetry_Int_Tables_number 193
_symmetry_space_group_name_Hall '-P 6c 2'
_cell_length_a 5.8073
_cell_length_b 5.8073
_cell_length_c 6.0138
_cell_angle_alpha 90.00
_cell_angle_beta 90.00
_cell_angle_gamma 120.00
loop_
_atom_site_label
_atom_site_type_symbol
_atom_site_fract_x
_atom_site_fract_y
_atom_site_fract_z
Si1 Si 0.0000 0.2512 0.2500
Si2 Si 0.3333 0.6667 0.0000
C1 C 0.0000 0.0000 0.0000
C2 C 0.0000 0.4223 0.7500
# N(E_F)   3.50 states/eV per cell
# Theoretical density   3.6 g/cm³
# Spin magnetization   0.000 μB per cell

Which structure is the least stable? The one labeled b.

a.
# SiSnC3 PBE-GGA optimized geometry
data_SiSnC3
_chemical_formula_sum 'Si1 Sn1 C3'
_symmetry_space_group_name_H-M 'P m -3 m'
_symmetry_Int_Tables_number 221
_symmetry_space_group_name_Hall '-P 4 2 3'
_cell_length_a 4.3011
_cell_length_b 4.3011
_cell_length_c 4.3011
_cell_angle_alpha 90.00
_cell_angle_beta 90.00
_cell_angle_gamma 90.00
loop_
_atom_site_label
_atom_site_type_symbol
_atom_site_fract_x
_atom_site_fract_y
_atom_site_fract_z
Si1 Si 0.0000 0.0000 0.0000
Sn1 Sn 0.5000 0.5000 0.5000
C1 C 0.0000 0.5000 0.5000
# N(E_F)   3.47 states/eV per cell
# Theoretical density   3.8 g/cm³
# Spin magnetization   0.000 μB per cell

b.
# SiSnC3 PBE-GGA optimized geometry
data_SiSnC3
_chemical_formula_sum 'Si1 Sn1 C3'
_symmetry_space_group_name_H-M 'P m -3 m'
_symmetry_Int_Tables_number 221
_symmetry_space_group_name_Hall '-P 4 2 3'
_cell_length_a 3.8699
_cell_length_b 3.8699
_cell_length_c 3.8699
_cell_angle_alpha 90.00
_cell_angle_beta 90.00
_cell_angle_gamma 90.00
loop_
_atom_site_label
_atom_site_type_symbol
_atom_site_fract_x
_atom_site_fract_y
_atom_site_fract_z
Si1 Si 0.0000 0.0000 0.0000
Sn1 Sn 0.5000 0.5000 0.5000
C1 C 0.0000 0.0000 0.5000
# N(E_F)   2.26 states/eV per cell
# Theoretical density   5.2 g/cm³
# Spin magnetization   0.000 μB per cell

Which structure is the least stable? The one labeled a.

a.
# Si2SnC PBE-GGA optimized geometry
data_Si2SnC
_chemical_formula_sum 'Si8 Sn4 C4'
_symmetry_space_group_name_H-M 'F m -3 m'
_symmetry_Int_Tables_number 225
_symmetry_space_group_name_Hall '-F 4 2 3'
_cell_length_a 6.3851
_cell_length_b 6.3851
_cell_length_c 6.3851
_cell_angle_alpha 90.00
_cell_angle_beta 90.00
_cell_angle_gamma 90.00
loop_
_atom_site_label
_atom_site_type_symbol
_atom_site_fract_x
_atom_site_fract_y
_atom_site_fract_z
Si1 Si 0.2500 0.2500 0.2500
Sn1 Sn 0.0000 0.0000 0.0000
C1 C 0.0000 0.0000 0.5000
# N(E_F)   12.71 states/eV per cell
# Theoretical density   4.8 g/cm³
# Spin magnetization   0.000 μB per cell

b.
# Si2SnC PBE-GGA optimized geometry
data_Si2SnC
_chemical_formula_sum 'Si8 Sn4 C4'
_symmetry_space_group_name_H-M 'I -4 2 d'
_symmetry_Int_Tables_number 122
_symmetry_space_group_name_Hall 'I -4 2bw'
_cell_length_a 5.2821
_cell_length_b 5.2821
_cell_length_c 9.8320
_cell_angle_alpha 90.00
_cell_angle_beta 90.00
_cell_angle_gamma 90.00
loop_
_atom_site_label
_atom_site_type_symbol
_atom_site_fract_x
_atom_site_fract_y
_atom_site_fract_z
Si1 Si 0.1497 0.2500 0.1250
Sn1 Sn 0.0000 0.0000 0.5000
C1 C 0.0000 0.0000 0.0000
# N(E_F)   0.04 states/eV per cell
# Theoretical density   4.5 g/cm³
# Spin magnetization   0.000 μB per cell

Which structure is the least stable? The one labeled a.

a.
# Si3SnC PBE-GGA optimized geometry
data_Si3SnC
_chemical_formula_sum 'Si3 Sn1 C1'
_symmetry_space_group_name_H-M 'P m -3 m'
_symmetry_Int_Tables_number 221
_symmetry_space_group_name_Hall '-P 4 2 3'
_cell_length_a 5.1314
_cell_length_b 5.1314
_cell_length_c 5.1314
_cell_angle_alpha 90.00
_cell_angle_beta 90.00
_cell_angle_gamma 90.00
loop_
_atom_site_label
_atom_site_type_symbol
_atom_site_fract_x
_atom_site_fract_y
_atom_site_fract_z
Si1 Si 0.0000 0.0000 0.5000
Sn1 Sn 0.0000 0.0000 0.0000
C1 C 0.5000 0.5000 0.5000
# N(E_F)   2.80 states/eV per cell
# Theoretical density   2.6 g/cm³
# Spin magnetization   0.703 μB per cell

b.
# Si3SnC PBE-GGA optimized geometry
data_Si3SnC
_chemical_formula_sum 'Si3 Sn1 C1'
_symmetry_space_group_name_H-M 'P m -3 m'
_symmetry_Int_Tables_number 221
_symmetry_space_group_name_Hall '-P 4 2 3'
_cell_length_a 4.2270
_cell_length_b 4.2270
_cell_length_c 4.2270
_cell_angle_alpha 90.00
_cell_angle_beta 90.00
_cell_angle_gamma 90.00
loop_
_atom_site_label
_atom_site_type_symbol
_atom_site_fract_x
_atom_site_fract_y
_atom_site_fract_z
Si1 Si 0.0000 0.0000 0.5000
Sn1 Sn 0.5000 0.5000 0.5000
C1 C 0.0000 0.0000 0.0000
# N(E_F)   2.89 states/eV per cell
# Theoretical density   4.7 g/cm³
# Spin magnetization   0.000 μB per cell

Which structure is the least stable? The one labeled a.

a.
# SiSn2C PBE-GGA optimized geometry
data_SiSn2C
_chemical_formula_sum 'Si4 Sn8 C4'
_symmetry_space_group_name_H-M 'F m -3 m'
_symmetry_Int_Tables_number 225
_symmetry_space_group_name_Hall '-F 4 2 3'
_cell_length_a 6.6688
_cell_length_b 6.6688
_cell_length_c 6.6688
_cell_angle_alpha 90.00
_cell_angle_beta 90.00
_cell_angle_gamma 90.00
loop_
_atom_site_label
_atom_site_type_symbol
_atom_site_fract_x
_atom_site_fract_y
_atom_site_fract_z
Si1 Si 0.0000 0.0000 0.0000
Sn1 Sn 0.2500 0.2500 0.2500
C1 C 0.0000 0.0000 0.5000
# N(E_F)   14.43 states/eV per cell
# Theoretical density   6.2 g/cm³
# Spin magnetization   0.000 μB per cell

b.
# SiSn2C PBE-GGA optimized geometry
data_SiSn2C
_chemical_formula_sum 'Si4 Sn8 C4'
_symmetry_space_group_name_H-M 'I -4 2 d'
_symmetry_Int_Tables_number 122
_symmetry_space_group_name_Hall 'I -4 2bw'
_cell_length_a 5.6170
_cell_length_b 5.6170
_cell_length_c 10.9324
_cell_angle_alpha 90.00
_cell_angle_beta 90.00
_cell_angle_gamma 90.00
loop_
_atom_site_label
_atom_site_type_symbol
_atom_site_fract_x
_atom_site_fract_y
_atom_site_fract_z
Si1 Si 0.0000 0.0000 0.0000
Sn1 Sn 0.1962 0.2500 0.6250
C1 C 0.0000 0.0000 0.5000
# N(E_F)   0.00 states/eV per cell
# Theoretical density   5.3 g/cm³
# Spin magnetization   0.000 μB per cell

Which structure is the least stable? The one labeled a.